The following is a DFT calculation (PBE) of La3Pr2Tm4 after structural relaxation.

Lattice parameters (Å, degrees): 6.235 6.235 10.887 105.91 105.91 48.89
Fractional positions:
La (0.000, 0.000, 0.000)
La (0.333, 0.333, 0.441)
La (0.667, 0.667, 0.559)
Pr (0.334, 0.334, 0.781)
Pr (0.666, 0.666, 0.219)
Tm (0.000, 0.000, 0.333)
Tm (0.000, 0.000, 0.667)
Tm (0.335, 0.335, 0.111)
Tm (0.665, 0.665, 0.889)

Results
E   -0.34263 Ry/atom
DFT formation energy   0.0302 eV per atom
ΔE to the lowest computed polymorph   0.0 meV/atom
SG   No. 12

The following is a DFT calculation (PBE) of GdYGaAg after structural relaxation.

Lattice parameters (Å, degrees): 5.140 5.140 5.140 60.00 60.00 60.00
Fractional positions:
Gd (0.000, 0.000, 0.000)
Y (0.500, 0.500, 0.500)
Ga (0.750, 0.750, 0.750)
Ag (0.250, 0.250, 0.250)

Results
E   -0.52010 Ry/atom
DFT formation energy   -0.4706 eV per atom
SG   No. 216